Si2HgAs, optimized geometry, DFT PBE-GGA; spin magnetization = 0.0 Bohr magnetons per cell; E_form (uncorrected) = 0.563 eV per atom; DOS(E_F) = 3.006 states/eV per cell; energy above the lowest structure with this stoichiometry = 310 meV/atom
1.0
3.377 0.000 0.000
0.000 4.501 0.000
0.000 0.000 10.268
Si Hg As
4 2 2
Cartesian
0.000 0.000 2.253
0.000 0.000 8.015
1.688 2.251 2.253
1.688 2.251 8.015
0.000 2.251 5.134
1.688 0.000 5.134
0.000 2.251 0.000
1.688 0.000 0.000